Below is a relaxed structure of LiNbZn, with properties calculated at the PBE level.

Lattice parameters (Å, degrees): 5.9667 5.9667 5.9667 90.00 90.00 90.00
Sites, in units of the cell vectors:
Li 0.0000 0.0000 0.0000
Li 0.0000 0.5000 0.5000
Li 0.5000 0.0000 0.5000
Li 0.5000 0.5000 0.0000
Nb 0.0000 0.0000 0.5000
Nb 0.0000 0.5000 0.0000
Nb 0.5000 0.0000 0.0000
Nb 0.5000 0.5000 0.5000
Zn 0.2500 0.2500 0.2500
Zn 0.2500 0.7500 0.7500
Zn 0.7500 0.2500 0.7500
Zn 0.7500 0.7500 0.2500

Summary:
Final energy (eV/atom): -3.82
E_form (eV per atom): 0.6018
Calculated volume (Å³/atom): 17.70
DOS at the Fermi energy (states/eV/atom): 0.231